An optimized crystal structure of Sr2ZnW. Source: Alexandria via LeMat-Bulk, functional PBE.

Cell lengths 5.438, 5.438, 5.438 Å; angles 60.00, 60.00, 60.00 degrees
Fractional positions:
1 Sr 0.250 0.250 0.250
2 Sr 0.750 0.750 0.750
3 Zn 0.000 0.000 0.000
4 W 0.500 0.500 0.500

* energy of formation: 935 meV/atom
* E: -3.463 eV/atom
* volume: 28.43 A^3/atom